[1]
{"formula": "BaTlCl4", "functional": "PBE-GGA", "state": "relaxed", "lattice_angstrom": [[5.5275, 0.0000, 0.0000], [0.0000, 9.8589, 0.0000], [-2.6259, 0.0000, 8.6074]], "species": ["Ba", "Ba", "Tl", "Tl", "Cl", "Cl", "Cl", "Cl", "Cl", "Cl", "Cl", "Cl"], "fractional_positions": [[0.0550, 0.2500, 0.0997], [0.9450, 0.7500, 0.9003], [0.2226, 0.7500, 0.4309], [0.7774, 0.2500, 0.5691], [0.1079, 0.5612, 0.1932], [0.1079, 0.9388, 0.1932], [0.2579, 0.2500, 0.5275], [0.3824, 0.7500, 0.7698], [0.6176, 0.2500, 0.2302], [0.7421, 0.7500, 0.4725], [0.8921, 0.0612, 0.8068], [0.8921, 0.4388, 0.8068]], "total_energy_ev_per_atom": -3.52, "magnetic_moment_mub_per_cell": 0.00}

***

[2]
{"formula": "Ba2TlCl", "functional": "PBE-GGA", "state": "relaxed", "lattice_angstrom": [[4.3865, 0.0000, 0.0000], [0.0000, 4.1514, 0.0000], [-0.0277, 0.0000, 9.1542]], "species": ["Ba", "Ba", "Tl", "Cl"], "fractional_positions": [[0.0016, 0.0000, 0.2305], [0.9984, 0.0000, 0.7695], [0.5000, 0.5000, 0.0000], [0.0000, 0.5000, 0.5000]], "total_energy_ev_per_atom": -3.12, "magnetic_moment_mub_per_cell": 0.00}

***

Values of ΔE_f (raw), in order: -1.577, -1.101, all in eV/atom.